1.
Computed, not measured: an optimized crystal structure of Pm3SmIn at the PBE level of DFT.

Properties
- E above lowest polymorph: 0.000 eV/atom
- Space-group type: Cmcm, No. 63

Geometry as POSCAR:
```
Pm3SmIn
1.0
-3.5644 3.0766 1.4037
-1.4952 0.3955 -4.6638
-9.7423 -8.4614 2.4058
Pm Sm In
6 2 2
Direct
0.3772 0.2500 0.8939
0.0748 0.7500 0.4987
0.8769 0.7500 0.8946
0.7715 0.2500 0.1054
0.2711 0.7500 0.1061
0.5735 0.2500 0.5013
0.1733 0.2500 0.3018
0.4751 0.7500 0.6982
0.9776 0.2500 0.6931
0.6707 0.7500 0.3069
```

2.
Computed, not measured: an optimized crystal structure of Pm4Sm3In4 at the PBE level of DFT.

Properties
- Calculated total energy: -4.322 eV/atom
- Space-group type: Immm, No. 71

Geometry as POSCAR:
```
Pm4Sm3In4
1.0
-2.8673 0.8390 2.2123
5.5267 -1.3197 7.6637
1.2237 9.5812 -5.1709
In Pm Sm
4 4 3
Direct
0.5000 0.7801 0.0000
0.5000 0.2199 0.0000
0.2719 0.7719 0.5438
0.7281 0.2281 0.4562
0.6634 0.8437 0.3268
0.6634 0.4831 0.3268
0.3366 0.1563 0.6732
0.3366 0.5169 0.6732
0.0953 0.0953 0.1906
0.0000 0.5000 0.0000
0.9047 0.9047 0.8094
```

3.
Computed, not measured: an optimized crystal structure of Pm5Sm5In2 at the PBE level of DFT.

Properties
- E above lowest polymorph: 0.063 eV/atom
- Space-group type: C2/m, No. 12

Geometry as POSCAR:
```
Pm5Sm5In2
1.0
-0.8248 0.4262 5.2770
0.2256 -5.9238 -2.2065
13.0127 10.6172 1.1763
Sm Pm In
5 5 2
Direct
0.6379 0.2758 0.7651
0.8747 0.7493 0.5754
0.0000 0.0000 0.0000
0.1253 0.2507 0.4246
0.3621 0.7242 0.2349
0.5000 0.0000 0.5000
0.6505 0.3010 0.9916
0.7237 0.4475 0.3080
0.2763 0.5525 0.6920
0.3495 0.6990 0.0084
0.0125 0.0250 0.1947
0.9875 0.9750 0.8053
```

4.
Computed, not measured: an optimized crystal structure of Pm2Sm3In4 at the PBE level of DFT.

Properties
- E above lowest polymorph: 0.000 eV/atom
- Space-group type: C2/m, No. 12

Geometry as POSCAR:
```
Pm2Sm3In4
1.0
5.3969 0.0006 0.0009
2.6980 4.6628 0.1667
-0.0020 -0.3989 10.4352
Pm In Sm
2 4 3
Direct
0.6673 0.6654 0.2206
0.3327 0.3346 0.7794
0.0003 0.9994 0.3490
0.3339 0.3321 0.1003
0.6661 0.6679 0.8997
0.9997 0.0006 0.6510
0.3336 0.3329 0.4233
0.6664 0.6671 0.5767
0.0000 0.0000 0.0000
```

5.
Computed, not measured: an optimized crystal structure of PmSm6In3 at the PBE level of DFT.

Properties
- E above lowest polymorph: 0.000 eV/atom
- Space-group type: P2_1/m, No. 11

Geometry as POSCAR:
```
PmSm6In3
1.0
5.2499 0.0000 0.0000
0.0000 10.0754 -2.2426
0.0000 0.8360 11.3582
Sm Pm In
12 2 6
Direct
0.2500 0.2760 0.5176
0.2500 0.8190 0.2791
0.7500 0.5472 0.9041
0.2500 0.0699 0.9099
0.2500 0.4528 0.0959
0.7500 0.9301 0.0901
0.7500 0.1810 0.7209
0.2500 0.1414 0.2213
0.7500 0.8586 0.7787
0.2500 0.6360 0.6898
0.7500 0.7240 0.4824
0.7500 0.3640 0.3102
0.7500 0.0473 0.4060
0.2500 0.9527 0.5940
0.2500 0.5443 0.3909
0.7500 0.4557 0.6091
0.7500 0.2451 0.0261
0.2500 0.7549 0.9739
0.7500 0.6412 0.1918
0.2500 0.3588 0.8082
```

6.
Computed, not measured: an optimized crystal structure of Pm2Sm3In4 at the PBE level of DFT.

Properties
- E above lowest polymorph: 0.134 eV/atom
- Space-group type: Cmce, No. 64

Geometry as POSCAR:
```
Pm2Sm3In4
1.0
7.2275 0.0000 0.0000
0.0000 9.4967 0.0000
-3.6137 0.0000 8.1457
Sm In Pm
6 8 4
Direct
0.0304 0.7500 0.5607
0.5304 0.7500 0.5607
0.0000 0.0000 0.0000
0.9696 0.2500 0.4393
0.5000 0.5000 0.0000
0.4696 0.2500 0.4393
0.2243 0.7500 0.9485
0.6887 0.5302 0.3775
0.3113 0.4698 0.6225
0.7243 0.7500 0.9485
0.8113 0.0302 0.6225
0.1887 0.9698 0.3775
0.7757 0.2500 0.0515
0.2757 0.2500 0.0515
0.6080 0.9347 0.2159
0.1080 0.5653 0.2159
0.8920 0.4347 0.7841
0.3920 0.0653 0.7841
```

7.
Computed, not measured: an optimized crystal structure of Pm2Sm9In at the PBE level of DFT.

Properties
- Calculated total energy: -4.625 eV/atom
- Space-group type: P4/mmm, No. 123

Geometry as POSCAR:
```
Pm2Sm9In
1.0
5.0378 0.0000 0.0000
0.0000 5.0378 0.0000
0.0000 0.0000 15.4290
Sm Pm In
9 2 1
Direct
0.0000 0.5000 0.5000
0.5000 0.5000 0.3286
0.5000 0.0000 0.5000
0.5000 0.0000 0.8400
0.0000 0.5000 0.8400
0.5000 0.5000 0.0000
0.5000 0.5000 0.6714
0.5000 0.0000 0.1600
0.0000 0.5000 0.1600
0.0000 0.0000 0.3305
0.0000 0.0000 0.6695
0.0000 0.0000 0.0000
```

8.
Computed, not measured: an optimized crystal structure of Pm4Sm9In11 at the PBE level of DFT.

Properties
- Calculated total energy: -4.234 eV/atom
- Space-group type: Cmmm, No. 65

Geometry as POSCAR:
```
Pm4Sm9In11
1.0
-1.3065 -2.1205 -2.5644
-2.4168 -10.2716 9.7249
-11.3730 8.6452 -1.3543
Sm In Pm
9 11 4
Direct
0.5000 0.2029 0.0121
0.5000 0.7971 0.9879
0.5000 0.6120 0.1642
0.5000 0.8358 0.3880
0.5000 0.5000 0.5000
0.5000 0.3880 0.8358
0.5000 0.0121 0.2029
0.5000 0.9879 0.7971
0.5000 0.1642 0.6120
0.0000 0.2047 0.2047
0.0000 0.9584 0.5904
0.0000 0.0000 0.0000
0.0000 0.1877 0.8123
0.0000 0.7953 0.7953
0.0000 0.6209 0.3791
0.0000 0.5904 0.9584
0.0000 0.8123 0.1877
0.0000 0.0416 0.4096
0.0000 0.3791 0.6209
0.0000 0.4096 0.0416
0.5000 0.5912 0.7560
0.5000 0.4088 0.2440
0.5000 0.7560 0.5912
0.5000 0.2440 0.4088
```

9.
Computed, not measured: an optimized crystal structure of Pm2Sm4In at the PBE level of DFT.

Properties
- E above lowest polymorph: 0.000 eV/atom
- Space-group type: R-3m, No. 166

Geometry as POSCAR:
```
Pm2Sm4In
1.0
3.6738 0.0000 0.0000
1.8369 3.1816 0.0000
1.8369 1.0605 19.8914
Sm In Pm
4 1 2
Direct
0.0921 0.0921 0.7236
0.9079 0.9079 0.2764
0.7092 0.7092 0.8723
0.2908 0.2908 0.1277
0.0000 0.0000 0.0000
0.8084 0.8084 0.5747
0.1916 0.1916 0.4253
```

10.
Computed, not measured: an optimized crystal structure of PmSm7In4 at the PBE level of DFT.

Properties
- Calculated total energy: -4.194 eV/atom
- Space-group type: C2/m, No. 12

Geometry as POSCAR:
```
PmSm7In4
1.0
5.7718 0.0000 0.0000
2.8859 9.0119 0.5059
2.8859 0.7317 7.2995
Sm In Pm
7 4 1
Direct
0.5000 0.0000 0.0000
0.9370 0.3936 0.7324
0.7930 0.8783 0.5356
0.2070 0.1217 0.4644
0.2825 0.6563 0.7788
0.7175 0.3437 0.2212
0.0630 0.6064 0.2676
0.5586 0.2438 0.6391
0.6816 0.6673 0.9696
0.3184 0.3327 0.0304
0.4414 0.7562 0.3609
0.0000 0.0000 0.0000
```

11.
Computed, not measured: an optimized crystal structure of Pm5Sm8In at the PBE level of DFT.

Properties
- Calculated total energy: -4.498 eV/atom
- Space-group type: C2, No. 5

Geometry as POSCAR:
```
Pm5Sm8In
1.0
8.0025 -1.4062 -3.8762
-4.4934 7.5545 -1.0307
-1.0810 1.4062 8.8259
In Sm Pm
1 8 5
Direct
0.2854 0.5000 0.7854
0.5891 0.3676 0.8760
0.8981 0.5698 0.5785
0.5084 0.6324 0.2216
0.5186 0.9456 0.9403
0.1110 0.6910 0.0401
0.0087 0.4302 0.3282
0.3491 0.3090 0.4199
0.9947 0.0544 0.5730
0.6859 0.7573 0.7313
0.9397 0.8259 0.2112
0.5021 0.0000 0.5021
0.9740 0.2427 0.9286
0.3853 0.1741 0.1138
```

12.
Computed, not measured: an optimized crystal structure of Pm4Sm2In at the PBE level of DFT.

Properties
- E above lowest polymorph: 0.000 eV/atom
- Space-group type: P2_1/m, No. 11

Geometry as POSCAR:
```
Pm4Sm2In
1.0
5.7858 0.0000 -0.3962
0.0000 6.8240 0.0000
-2.2112 0.0000 11.6832
In Pm Sm
2 8 4
Direct
0.1067 0.7500 0.1622
0.8933 0.2500 0.8378
0.6306 0.4937 0.2830
0.9640 0.7500 0.8758
0.0360 0.2500 0.1242
0.3694 0.5063 0.7170
0.1558 0.7500 0.4350
0.3694 0.9937 0.7170
0.8442 0.2500 0.5650
0.6306 0.0063 0.2830
0.2647 0.2500 0.4257
0.4590 0.2500 0.9769
0.5410 0.7500 0.0231
0.7353 0.7500 0.5743
```

| no. | D(E_F) (states/eV per atom) |
| --- | --- |
| 1 | 1.380 |
| 2 | 0.978 |
| 3 | 1.262 |
| 4 | 1.055 |
| 5 | 1.146 |
| 6 | 0.721 |
| 7 | 1.353 |
| 8 | 0.919 |
| 9 | 1.528 |
| 10 | 1.149 |
| 11 | 1.417 |
| 12 | 1.318 |